DFT (PBE-GGA) results for a geometry-optimized PaBi2 structure.

Energy = -5.696 eV/atom
E_form = 0.056 eV/atom
Magnetic moment = 0.0001 μB per atom

Cell lengths 5.5068, 5.5068, 21.7626 Å; angles 90.00, 90.00, 120.00 degrees
Space group R-3m (No. 166, hexagonal axes)
Symmetry-distinct sites (fractional):
Pa: 0.0000 0.0000 0.0604
Bi: 0.0000 0.0000 0.2101
Bi: 0.0000 0.0000 0.3611



DFT (PBE-GGA) results for a geometry-optimized LiMnCr2 structure.

Energy = -7.168 eV/atom
Distance to the lowest polymorph of the same formula = 0.1688 eV/atom
E_form = 0.414 eV/atom
Magnetic moment = 0.1998 μB per atom

Cell lengths 4.812, 8.217, 2.330 Å; angles 90.00, 90.00, 90.00 degrees
Space group Cmmm (No. 65)
Symmetry-distinct sites (fractional):
Li: 0.000 0.000 0.000
Mn: 0.000 0.500 0.000
Cr: 0.250 0.250 0.500



DFT (PBE-GGA) results for a geometry-optimized HoGe4Ir4 structure.

Energy = -6.822 eV/atom
E_form = -0.323 eV/atom
Magnetic moment = 0.0000 μB per atom

Cell lengths 8.647, 8.647, 4.136 Å; angles 90.00, 90.00, 90.00 degrees
Space group I4/m (No. 87)
Symmetry-distinct sites (fractional):
Ho: 0.000 0.000 0.000
Ge: 0.139 0.219 0.500
Ir: 0.068 0.362 0.000



DFT (PBE-GGA) results for a geometry-optimized LaF3 structure.

Raw formation energy = -4081 meV per atom
Energy = -6.716 eV/atom
Magnetic moment = 0.0000 μB per atom

Cell lengths 7.269, 8.154, 3.998 Å; angles 90.00, 90.00, 90.00 degrees
Space group Cmcm (No. 63)
Symmetry-distinct sites (fractional):
La: 0.000 0.235 0.250
F: 0.000 0.079 0.750
F: 0.183 0.357 0.750